## ZrScAl3 (meta-GGA SCAN)

Data for a crystal of ZrScAl3 relaxed with PBEsol.

abc: 4.8293 4.8293 4.8293
angles: 90.00 90.00 90.00
Positions (direct):
Zr 0.0000 0.0000 0.0000
Sc 0.5000 0.5000 0.5000
Al 0.0000 0.5000 0.5000
Al 0.5000 0.0000 0.5000
Al 0.5000 0.5000 0.0000

Values from the calculation:
- Magnetization: 0.937 μB/f.u.
- V: 22.5 Å³ per atom
- Density of states at the Fermi level: 2.63 states/eV/f.u.
- Space group: Pm-3m

## ZrScAl (meta-GGA SCAN)

Data for a crystal of ZrScAl relaxed with PBEsol.

abc: 4.6888 4.6888 4.6888
angles: 60.00 60.00 60.00
Positions (direct):
Zr 0.0000 0.0000 0.0000
Sc 0.7500 0.7500 0.7500
Al 0.2500 0.2500 0.2500

Values from the calculation:
- Magnetization: 1.999 μB/f.u.
- V: 24.3 Å³ per atom
- Density of states at the Fermi level: 4.01 states/eV/f.u.
- Space group: F-43m

no.,energy relative to the elements (eV per atom)
1,0.89
2,0.59